Entry 1:
Here is a relaxed structure of Nb5TcW2 from Alexandria via LeMat-Bulk. Energies are from PBE-GGA.

```
Nb5TcW2
1.0
-3.203 -2.671 -2.017
-1.703 -1.702 4.956
-7.099 8.222 0.385
Nb W Tc
10 4 2
Cartesian
-6.732 4.657 4.522
0.000 0.000 0.000
-4.401 3.260 2.671
-8.985 4.783 2.614
-2.069 1.863 0.819
-5.975 5.618 2.049
-6.270 3.475 0.035
-3.019 -0.934 0.710
-2.826 0.902 3.292
-5.734 0.374 3.289
-8.119 5.613 0.139
-7.140 2.642 2.518
-3.886 -1.764 3.185
-4.864 1.207 0.806
-3.549 4.111 0.193
-0.851 -0.851 2.478
```

Summary:
SG: Pbam (55)
formation energy from the elements: -9 meV/atom
magnetic moment: 0.0 μB/f.u.
N(E_F): 13.57 states/eV/cell

***

Entry 2:
Here is a relaxed structure of MgGa2Sb from Alexandria via LeMat-Bulk. Energies are from PBE-GGA.

```
MgGa2Sb
1.0
-0.070 0.629 3.547
-2.224 -2.798 0.452
5.276 -4.061 0.824
Ga Mg Sb
2 1 1
Cartesian
1.268 -0.976 0.198
4.008 -3.085 0.626
-1.147 -1.084 1.999
1.491 -3.115 2.411
```

Summary:
distance to the lowest polymorph of the same formula: 84 meV/atom
SG: P4/mmm (123)
magnetic moment: 0.0 μB/f.u.
formation energy (no corrections): 0.010 eV per atom
N(E_F): 1.66 states/eV/cell

***

Entry 3:
Here is a relaxed structure of Cu10Hg2Sb4S13 from Alexandria via LeMat-Bulk. Energies are from PBE-GGA.

```
Cu10Hg2Sb4S13
1.0
9.176 -0.050 0.000
-2.670 8.779 0.000
-3.253 -4.364 7.387
Cu S Sb Hg
10 13 4 2
Cartesian
-1.335 4.390 3.693
4.837 3.184 1.976
-4.610 3.436 5.750
4.610 -3.436 5.750
-1.312 0.978 1.637
4.588 -0.025 3.693
1.669 5.545 1.976
1.312 -0.978 1.637
1.584 -1.181 5.411
-1.584 1.181 5.411
2.523 3.385 1.966
0.000 0.000 0.000
-0.305 5.407 5.515
-0.730 2.153 3.476
5.618 0.993 1.872
-3.651 4.330 3.911
2.407 6.518 0.000
-0.654 5.668 1.872
2.272 -0.085 3.476
5.559 4.169 0.000
5.193 -2.261 3.911
5.269 1.253 5.515
-0.730 -0.979 5.421
-1.110 4.114 0.000
4.260 0.112 0.000
1.678 2.252 4.038
4.932 6.616 3.348
4.939 6.626 0.000
1.567 2.102 0.000
```

Summary:
SG: I-42m (121)
magnetic moment: 0.0 μB/f.u.
formation energy (no corrections): -0.198 eV per atom
N(E_F): 11.85 states/eV/cell

***

Entry 4:
Here is a relaxed structure of SmEuRu4 from Alexandria via LeMat-Bulk. Energies are from PBE-GGA.

```
SmEuRu4
1.0
5.398 0.000 0.000
2.699 4.675 0.000
2.699 1.558 4.407
Sm Ru Eu
1 4 1
Cartesian
2.699 1.558 1.102
5.398 1.558 2.755
5.398 3.116 0.551
4.048 3.896 2.755
6.747 3.896 2.755
0.000 0.000 0.000
```

Summary:
SG: F-43m (216)
formation energy from the elements: -62 meV/atom
magnetic moment: 5.2 μB/f.u.
N(E_F): 9.21 states/eV/cell

***

Entry 5:
Here is a relaxed structure of ScAs2Ir from Alexandria via LeMat-Bulk. Energies are from PBE-GGA.

```
ScAs2Ir
1.0
4.633 0.000 0.000
2.317 4.012 0.000
2.317 1.337 3.783
As Ir Sc
2 1 1
Cartesian
0.000 0.000 0.000
2.317 1.337 0.946
4.633 2.675 1.891
6.950 4.012 2.837
```

Summary:
distance to the lowest polymorph of the same formula: 443 meV/atom
SG: F-43m (216)
formation energy from the elements: -213 meV/atom
magnetic moment: 0.0 μB/f.u.
N(E_F): 3.02 states/eV/cell

***

Entry 6:
Here is a relaxed structure of CeErHf2 from Alexandria via LeMat-Bulk. Energies are from PBE-GGA.

```
CeErHf2
1.0
4.715 0.000 0.000
0.000 4.648 0.000
0.000 0.000 4.648
Er Ce Hf
1 1 2
Cartesian
2.358 0.000 0.000
2.358 2.324 2.324
0.000 0.000 2.324
0.000 2.324 0.000
```

Summary:
distance to the lowest polymorph of the same formula: 0 meV/atom
SG: P4/mmm (123)
formation energy from the elements: 172 meV/atom
magnetic moment: 0.0 μB/f.u.
N(E_F): 5.88 states/eV/cell

***

Entry 7:
Here is a relaxed structure of MgZr2Au from Alexandria via LeMat-Bulk. Energies are from PBE-GGA.

```
MgZr2Au
1.0
10.367 0.005 0.003
9.896 3.090 0.003
9.896 1.512 2.695
Mg Au Zr
1 1 2
Cartesian
22.619 3.455 2.026
7.540 1.152 0.675
15.237 2.328 1.365
30.002 4.583 2.687
```

Summary:
SG: R-3m (166)
formation energy from the elements: -83 meV/atom
magnetic moment: 0.0 μB/f.u.
N(E_F): 3.26 states/eV/cell

***

Entry 8:
Here is a relaxed structure of Cd2PtAu6 from Alexandria via LeMat-Bulk. Energies are from PBE-GGA.

```
Cd2PtAu6
1.0
4.279 0.000 0.000
-2.139 4.503 1.207
0.000 0.617 8.686
Au Cd Pt
6 2 1
Cartesian
2.139 1.909 5.668
2.139 4.582 2.674
0.000 3.525 7.073
0.000 0.538 7.220
0.000 3.211 4.225
2.139 1.595 2.820
0.000 3.013 1.367
2.139 2.107 8.526
0.000 0.309 4.343
```

Summary:
distance to the lowest polymorph of the same formula: 42 meV/atom
SG: C2/m (12)
formation energy from the elements: -70 meV/atom
magnetic moment: 0.0 μB/f.u.
N(E_F): 2.37 states/eV/cell